Entry 1:
Here is a relaxed TlCdIn crystal from Alexandria via LeMat-Bulk. Energies are from PBE.

Output
- DOS(E_F) (states/eV per atom) = 0.4653
- energy of formation from the pure elements (eV/atom) = 0.042

a = 6.6717 Å, b = 6.3789 Å, c = 5.3217 Å
α = 115.48°, β = 91.07°, γ = 57.84°
Last column: nearest neighbours and their distance in Å.
Positions (direct):
Cd 0.3849 0.6149 0.2947  1 Cd 3.05, 4 In 3.09-3.37
Cd 0.7101 0.9636 0.9684  1 Cd 3.05, 4 In 3.09-3.37
Tl 0.8026 0.2822 0.6260  2 Tl 3.31-3.36, 6 Cd 3.45-3.60, 6 In 3.49-3.54
Tl 0.2923 0.2961 0.6371  2 Tl 3.31-3.36, 6 Cd 3.45-3.60, 6 In 3.49-3.54
In 0.8728 0.6281 0.3001  4 Cd 3.09-3.37, 1 In 3.18
In 0.2223 0.9500 0.9630  4 Cd 3.09-3.37, 1 In 3.18

=====

Entry 2:
Here is a relaxed LiPaPt2 crystal from Alexandria via LeMat-Bulk. Energies are from PBE.

Output
- distance to the lowest polymorph of the same formula (meV/atom) = 88
- DOS(E_F) (states/eV per atom) = 1.2426
- energy of formation from the pure elements (eV/atom) = -0.795

a = 3.3047 Å, b = 3.3047 Å, c = 6.5115 Å
α = 90.00°, β = 90.00°, γ = 90.00°
Last column: nearest neighbours and their distance in Å.
Positions (direct):
Li 0.5000 0.5000 0.0000  8 Pt 2.73
Pa 0.5000 0.5000 0.5000  8 Pt 2.97, 2 Li 3.26, 4 Pa 3.30
Pt 0.0000 0.0000 0.2180  4 Li 2.73, 1 Pt 2.84, 4 Pa 2.97
Pt 0.0000 0.0000 0.7820  4 Li 2.73, 1 Pt 2.84, 4 Pa 2.97

=====

Entry 3:
Here is a relaxed Cs12S3Br5 crystal from Alexandria via LeMat-Bulk. Energies are from PBE.

Output
- raw formation energy (eV/atom) = -1.222
- DOS(E_F) (states/eV per atom) = 0.0740

a = 18.0480 Å, b = 18.0480 Å, c = 18.0480 Å
α = 109.47°, β = 109.47°, γ = 109.47°
Last column: nearest neighbours and their distance in Å.
Positions (direct):
Cs 0.7673 0.4388 0.3639  2 Br 3.42-3.62, 1 S 3.64
Cs 0.8285 0.9250 0.0612  2 Br 3.42-3.62, 1 S 3.64
Cs 0.0612 0.6361 0.7327  2 Br 3.42-3.62, 1 S 3.64
Cs 0.5965 0.8639 0.4250  2 Br 3.42-3.62, 1 S 3.64
Cs 0.6361 0.0612 0.2327  2 Br 3.42-3.62, 1 S 3.64
Cs 0.4388 0.6715 0.0750  2 Br 3.42-3.62, 1 S 3.64
Cs 0.3639 0.4250 0.0965  2 Br 3.42-3.62, 1 S 3.64
Cs 0.0750 0.9035 0.1361  2 Br 3.42-3.62, 1 S 3.64
Cs 0.5612 0.3285 0.9250  2 Br 3.42-3.62, 1 S 3.64
Cs 0.9035 0.8285 0.7673  2 Br 3.42-3.62, 1 S 3.64
Cs 0.7673 0.3285 0.9035  2 Br 3.42-3.62, 1 S 3.64
Cs 0.8639 0.5965 0.9250  2 Br 3.42-3.62, 1 S 3.64
Cs 0.7327 0.5965 0.1715  2 Br 3.42-3.62, 1 S 3.64
Cs 0.4250 0.3639 0.5965  2 Br 3.42-3.62, 1 S 3.64
Cs 0.9250 0.8285 0.5612  2 Br 3.42-3.62, 1 S 3.64
Cs 0.1361 0.4035 0.0750  2 Br 3.42-3.62, 1 S 3.64
Cs 0.4250 0.0612 0.3285  2 Br 3.42-3.62, 1 S 3.64
Cs 0.0612 0.4250 0.8285  2 Br 3.42-3.62, 1 S 3.64
Cs 0.1715 0.0965 0.7327  2 Br 3.42-3.62, 1 S 3.64
Cs 0.8639 0.2673 0.4388  2 Br 3.42-3.62, 1 S 3.64
Cs 0.2327 0.6715 0.0965  2 Br 3.42-3.62, 1 S 3.64
Cs 0.5750 0.9388 0.6715  2 Br 3.42-3.62, 1 S 3.64
Cs 0.5612 0.2327 0.1361  2 Br 3.42-3.62, 1 S 3.64
Cs 0.4388 0.7673 0.8639  2 Br 3.42-3.62, 1 S 3.64
Cs 0.0965 0.9250 0.3639  2 Br 3.42-3.62, 1 S 3.64
Cs 0.6361 0.5750 0.9035  2 Br 3.42-3.62, 1 S 3.64
Cs 0.9388 0.5750 0.1715  2 Br 3.42-3.62, 1 S 3.64
Cs 0.6715 0.2327 0.5965  2 Br 3.42-3.62, 1 S 3.64
Cs 0.7327 0.1361 0.0612  2 Br 3.42-3.62, 1 S 3.64
Cs 0.1361 0.7327 0.5612  2 Br 3.42-3.62, 1 S 3.64
Cs 0.2673 0.8639 0.9388  2 Br 3.42-3.62, 1 S 3.64
Cs 0.4035 0.2673 0.3285  2 Br 3.42-3.62, 1 S 3.64
Cs 0.3639 0.9388 0.7673  2 Br 3.42-3.62, 1 S 3.64
Cs 0.9250 0.0965 0.8639  2 Br 3.42-3.62, 1 S 3.64
Cs 0.6715 0.4388 0.5750  2 Br 3.42-3.62, 1 S 3.64
Cs 0.2327 0.5612 0.6361  2 Br 3.42-3.62, 1 S 3.64
Cs 0.3285 0.7673 0.4035  2 Br 3.42-3.62, 1 S 3.64
Cs 0.0965 0.1715 0.2327  2 Br 3.42-3.62, 1 S 3.64
Cs 0.2673 0.4035 0.8285  2 Br 3.42-3.62, 1 S 3.64
Cs 0.5750 0.6361 0.4035  2 Br 3.42-3.62, 1 S 3.64
Cs 0.3285 0.5612 0.4250  2 Br 3.42-3.62, 1 S 3.64
Cs 0.9035 0.0750 0.6361  2 Br 3.42-3.62, 1 S 3.64
Cs 0.8285 0.9035 0.2673  2 Br 3.42-3.62, 1 S 3.64
Cs 0.9388 0.3639 0.2673  2 Br 3.42-3.62, 1 S 3.64
Cs 0.1715 0.0750 0.9388  2 Br 3.42-3.62, 1 S 3.64
Cs 0.4035 0.1361 0.5750  2 Br 3.42-3.62, 1 S 3.64
Cs 0.0750 0.1715 0.4388  2 Br 3.42-3.62, 1 S 3.64
Cs 0.5965 0.7327 0.6715  2 Br 3.42-3.62, 1 S 3.64
Br 0.5000 0.0000 0.5000  6 Cs 3.62
Br 0.3750 0.2500 0.1250  4 Cs 3.42
Br 0.8750 0.2500 0.6250  4 Cs 3.42
Br 0.2500 0.8750 0.1250  4 Cs 3.42
Br 0.6250 0.7500 0.8750  4 Cs 3.42
Br 0.2500 0.3750 0.6250  4 Cs 3.42
Br 0.6250 0.8750 0.2500  4 Cs 3.42
Br 0.1250 0.7500 0.3750  4 Cs 3.42
Br 0.0000 0.5000 0.5000  6 Cs 3.62
Br 0.5000 0.0000 0.0000  6 Cs 3.62
Br 0.7500 0.1250 0.8750  4 Cs 3.42
Br 0.0000 0.5000 0.0000  6 Cs 3.62
Br 0.5000 0.5000 0.0000  6 Cs 3.62
Br 0.0000 0.0000 0.0000  6 Cs 3.62
Br 0.7500 0.6250 0.3750  4 Cs 3.42
Br 0.8750 0.6250 0.7500  4 Cs 3.42
Br 0.5000 0.5000 0.5000  6 Cs 3.62
Br 0.3750 0.1250 0.7500  4 Cs 3.42
Br 0.0000 0.0000 0.5000  6 Cs 3.62
Br 0.1250 0.3750 0.2500  4 Cs 3.42
S 0.1250 0.2500 0.8750  8 Cs 3.64-3.94
S 0.2500 0.1250 0.3750  8 Cs 3.64-3.94
S 0.1250 0.8750 0.7500  8 Cs 3.64-3.94
S 0.2500 0.6250 0.8750  8 Cs 3.64-3.94
S 0.6250 0.2500 0.3750  8 Cs 3.64-3.94
S 0.3750 0.7500 0.6250  8 Cs 3.64-3.94
S 0.7500 0.8750 0.6250  8 Cs 3.64-3.94
S 0.6250 0.3750 0.7500  8 Cs 3.64-3.94
S 0.3750 0.6250 0.2500  8 Cs 3.64-3.94
S 0.7500 0.3750 0.1250  8 Cs 3.64-3.94
S 0.8750 0.1250 0.2500  8 Cs 3.64-3.94
S 0.8750 0.7500 0.1250  8 Cs 3.64-3.94

=====

Entry 4:
Here is a relaxed RuRh2Pb crystal from Alexandria via LeMat-Bulk. Energies are from PBE.

Output
- DOS(E_F) (states/eV per atom) = 1.1289
- energy of formation from the pure elements (eV/atom) = 0.315

a = 4.5285 Å, b = 4.5285 Å, c = 4.5285 Å
α = 60.00°, β = 60.00°, γ = 60.00°
Last column: nearest neighbours and their distance in Å.
Positions (direct):
Ru 0.7500 0.7500 0.7500  4 Pb 2.77, 4 Rh 2.77
Rh 0.0000 0.0000 0.0000  4 Ru 2.77, 4 Rh 2.77
Rh 0.2500 0.2500 0.2500  4 Rh 2.77, 4 Pb 2.77
Pb 0.5000 0.5000 0.5000  4 Ru 2.77, 4 Rh 2.77

=====

Entry 5:
Here is a relaxed SmAlZn2Au crystal from Alexandria via LeMat-Bulk. Energies are from PBE.

Output
- DOS(E_F) (states/eV per atom) = 0.3708
- energy of formation from the pure elements (eV/atom) = -0.501

a = 4.0761 Å, b = 4.2370 Å, c = 6.4205 Å
α = 109.27°, β = 108.51°, γ = 90.00°
Last column: nearest neighbours and their distance in Å.
Positions (direct):
Zn 0.6896 0.1896 0.3792  2 Zn 2.54, 2 Au 2.67
Zn 0.0562 0.0562 0.1124  2 Zn 2.54, 1 Au 2.57, 2 Al 2.61
Al 0.1899 0.6899 0.3798  2 Au 2.60, 2 Zn 2.61
Au 0.8313 0.8313 0.6625  3 Zn 2.57-2.67, 2 Al 2.60
Sm 0.4452 0.4452 0.8903  8 Zn 3.20-3.56, 4 Au 3.21, 2 Al 3.46

=====

Entry 6:
Here is a relaxed TaMnP2 crystal from Alexandria via LeMat-Bulk. Energies are from PBE.

Output
- distance to the lowest polymorph of the same formula (meV/atom) = 280
- DOS(E_F) (states/eV per atom) = 0.3737
- energy of formation from the pure elements (eV/atom) = -0.336

a = 3.0628 Å, b = 4.2289 Å, c = 4.2289 Å
α = 90.00°, β = 90.00°, γ = 90.00°
Last column: nearest neighbours and their distance in Å.
Positions (direct):
P 0.0000 0.5000 0.5000  4 Ta 2.61, 4 Mn 2.61
P 0.0000 0.0000 0.0000  4 Ta 2.61, 4 Mn 2.61
Ta 0.5000 0.5000 0.0000  8 P 2.61
Mn 0.5000 0.0000 0.5000  8 P 2.61

=====

Entry 7:
Here is a relaxed Sr2TlPb crystal from Alexandria via LeMat-Bulk. Energies are from PBE.

Output
- DOS(E_F) (states/eV per atom) = 0.7930
- energy of formation from the pure elements (eV/atom) = -0.326

a = 5.6231 Å, b = 5.6231 Å, c = 7.3470 Å
α = 79.75°, β = 79.75°, γ = 41.51°
Last column: nearest neighbours and their distance in Å.
Positions (direct):
Sr 0.5031 0.5031 0.4946  3 Tl 3.48-3.56, 3 Pb 3.48-3.49
Sr 0.9969 0.9969 0.0054  3 Tl 3.48-3.56, 3 Pb 3.48-3.49
Pb 0.2500 0.2500 0.2500  6 Sr 3.48-3.49
Tl 0.7500 0.7500 0.7500  6 Sr 3.48-3.56

=====

Entry 8:
Here is a relaxed LaCuPO2 crystal from Alexandria via LeMat-Bulk. Energies are from PBE.

Output
- distance to the lowest polymorph of the same formula (meV/atom) = 0
- raw formation energy (eV/atom) = -0.974
- DOS(E_F) (states/eV per atom) = 0.6196

a = 4.1234 Å, b = 4.1234 Å, c = 4.3273 Å
α = 90.00°, β = 90.00°, γ = 90.00°
Last column: nearest neighbours and their distance in Å.
Positions (direct):
La 0.5000 0.5000 0.5000  4 P 2.92, 8 O 2.99
Cu 0.0000 0.0000 0.0000  4 O 2.06, 2 P 2.16
O 0.5000 0.0000 0.0000  2 Cu 2.06
O 0.0000 0.5000 0.0000  2 Cu 2.06
P 0.0000 0.0000 0.5000  2 Cu 2.16

=====

Entry 9:
Here is a relaxed Dy3Hf crystal from Alexandria via LeMat-Bulk. Energies are from PBE.

Output
- distance to the lowest polymorph of the same formula (meV/atom) = 24
- DOS(E_F) (states/eV per atom) = 1.1214
- energy of formation from the pure elements (eV/atom) = 0.141

a = 4.8381 Å, b = 4.8381 Å, c = 4.8381 Å
α = 90.00°, β = 90.00°, γ = 90.00°
Last column: nearest neighbours and their distance in Å.
Positions (direct):
Hf 0.0000 0.0000 0.0000  12 Dy 3.42
Dy 0.0000 0.5000 0.5000  4 Hf 3.42, 8 Dy 3.42
Dy 0.5000 0.0000 0.5000  4 Hf 3.42, 8 Dy 3.42
Dy 0.5000 0.5000 0.0000  4 Hf 3.42, 8 Dy 3.42

=====

Entry 10:
Here is a relaxed Tb2SnSe crystal from Alexandria via LeMat-Bulk. Energies are from PBE.

Output
- distance to the lowest polymorph of the same formula (meV/atom) = 156
- raw formation energy (eV/atom) = -1.109
- DOS(E_F) (states/eV per atom) = 0.5924

a = 3.8865 Å, b = 3.8865 Å, c = 8.5554 Å
α = 76.87°, β = 76.87°, γ = 60.00°
Last column: nearest neighbours and their distance in Å.
Positions (direct):
Sn 0.6675 0.6675 0.9976  6 Tb 3.14-3.17
Se 0.4991 0.4991 0.5028  6 Tb 2.93-2.96
Tb 0.0898 0.0898 0.7307  3 Se 2.93, 3 Sn 3.14
Tb 0.2437 0.2437 0.2689  3 Se 2.96, 3 Sn 3.17

=====

Entry 11:
Here is a relaxed VHgI crystal from Alexandria via LeMat-Bulk. Energies are from PBE.

Output
- raw formation energy (eV/atom) = 0.079
- DOS(E_F) (states/eV per atom) = 0.5514

a = 3.7814 Å, b = 3.7040 Å, c = 13.5761 Å
α = 97.84°, β = 106.02°, γ = 90.00°
Last column: nearest neighbours and their distance in Å.
Positions (direct):
V 0.7507 0.2503 0.5006  4 V 2.65, 4 I 2.69-2.71
V 0.2493 0.7497 0.4994  4 V 2.65, 4 I 2.69-2.71
I 0.6008 0.6747 0.3494  4 V 2.69-2.71
I 0.3992 0.3253 0.6506  4 V 2.69-2.71
Hg 0.1447 0.9470 0.8939  4 Hg 3.33-3.70
Hg 0.8553 0.0530 0.1061  4 Hg 3.33-3.70

=====

Entry 12:
Here is a relaxed LiPmAu11 crystal from Alexandria via LeMat-Bulk. Energies are from PBE.

Output
- DOS(E_F) (states/eV per atom) = 0.3521
- energy of formation from the pure elements (eV/atom) = -0.283

a = 5.4838 Å, b = 7.2134 Å, c = 7.3282 Å
α = 81.86°, β = 68.03°, γ = 67.76°
Last column: nearest neighbours and their distance in Å.
Positions (direct):
Au 0.0000 0.5000 0.0000  2 Li 2.74, 8 Au 2.76-2.87
Au 0.0212 0.6454 0.3361  1 Li 2.81, 7 Au 2.87-3.14
Au 0.4932 0.7825 0.2077  1 Li 2.69, 7 Au 2.76-2.99
Au 0.9788 0.3546 0.6639  1 Li 2.81, 7 Au 2.87-3.14
Au 0.6427 0.3546 0.3361  1 Li 2.81, 7 Au 2.87-3.14
Au 0.0000 0.0000 0.5000  10 Au 2.74-2.99
Au 0.5068 0.2175 0.7923  1 Li 2.69, 7 Au 2.76-2.99
Au 0.3573 0.6454 0.6639  1 Li 2.81, 7 Au 2.87-3.14
Au 0.5000 0.0000 0.5000  10 Au 2.74-2.99
Au 0.2991 0.2175 0.2077  1 Li 2.69, 7 Au 2.76-2.99
Au 0.7009 0.7825 0.7923  1 Li 2.69, 7 Au 2.76-2.99
Pm 0.0000 0.0000 0.0000  18 Au 3.29-3.66, 2 Li 3.61
Li 0.5000 0.5000 0.0000  10 Au 2.69-2.81

=====

Entry 13:
Here is a relaxed CsAlPb3 crystal from Alexandria via LeMat-Bulk. Energies are from PBE.

Output
- distance to the lowest polymorph of the same formula (meV/atom) = 1209
- DOS(E_F) (states/eV per atom) = 0.8718
- energy of formation from the pure elements (eV/atom) = 1.390

a = 6.3290 Å, b = 6.3290 Å, c = 6.3290 Å
α = 90.00°, β = 90.00°, γ = 90.00°
Last column: nearest neighbours and their distance in Å.
Positions (direct):
Pb 0.0000 0.5000 0.0000  2 Cs 3.16
Pb 0.0000 0.0000 0.5000  2 Cs 3.16
Pb 0.5000 0.0000 0.0000  2 Cs 3.16
Al 0.5000 0.5000 0.5000  12 Pb 4.48
Cs 0.0000 0.0000 0.0000  6 Pb 3.16

=====

Entry 14:
Here is a relaxed Sm4InRu2 crystal from Alexandria via LeMat-Bulk. Energies are from PBE.

Output
- DOS(E_F) (states/eV per atom) = 0.6802
- energy of formation from the pure elements (eV/atom) = -0.313

a = 7.9684 Å, b = 8.5967 Å, c = 9.2275 Å
α = 115.18°, β = 112.05°, γ = 117.36°
Last column: nearest neighbours and their distance in Å.
Positions (direct):
In 0.1672 0.6972 0.4437  2 Ru 2.97-3.09, 2 Sm 3.28-3.29
In 0.0453 0.0267 0.0184  1 Ru 2.99, 3 Sm 3.28-3.30
Ru 0.6077 0.3611 0.2315  4 Sm 2.70-2.89, 2 In 2.97-2.99
Ru 0.3251 0.5796 0.9489  2 Ru 2.88-3.20, 8 Sm 2.89-3.11
Ru 0.5052 0.2402 0.6571  4 Sm 2.66-2.82
Ru 0.8618 0.1093 0.4727  8 Sm 2.87-3.18, 2 Ru 2.88-3.20
Sm 0.6750 0.0603 0.0877  3 Ru 2.76-3.03
Sm 0.2348 0.1296 0.7808  4 Ru 2.78-3.12
Sm 0.8567 0.2460 0.8489  2 Ru 2.66-2.89
Sm 0.9237 0.5435 0.6557  3 Ru 2.81-3.09
Sm 0.5211 0.6406 0.3503  2 Ru 2.70-2.94
Sm 0.8297 0.7470 0.1684  2 Ru 2.90-2.99
Sm 0.3541 0.9260 0.2473  3 Ru 2.82-2.90
Sm 0.3427 0.4429 0.5885  2 Ru 2.74-2.87

=====

Entry 15:
Here is a relaxed PaHgGe crystal from Alexandria via LeMat-Bulk. Energies are from PBE.

Output
- distance to the lowest polymorph of the same formula (meV/atom) = 0
- DOS(E_F) (states/eV per atom) = 1.3443
- energy of formation from the pure elements (eV/atom) = -0.027

a = 3.0815 Å, b = 4.9877 Å, c = 4.9877 Å
α = 120.00°, β = 90.00°, γ = 90.00°
Last column: nearest neighbours and their distance in Å.
Positions (direct):
Pa 0.3333 0.6667 0.3333  2 Pa 3.08, 6 Ge 3.27, 6 Hg 3.27
Ge 0.8336 0.3333 0.6667  3 Hg 2.88, 2 Ge 3.08
Hg 0.8331 0.0000 0.0000  3 Ge 2.88, 2 Hg 3.08

=====

Entry 16:
Here is a relaxed Ca2Ge3Pd6 crystal from Alexandria via LeMat-Bulk. Energies are from PBE.

Output
- DOS(E_F) (states/eV per atom) = 0.2631
- energy of formation from the pure elements (eV/atom) = -0.640

a = 4.3274 Å, b = 7.4346 Å, c = 7.4346 Å
α = 120.00°, β = 90.00°, γ = 90.00°
Last column: nearest neighbours and their distance in Å.
Positions (direct):
Pd 0.5000 0.0000 0.2907  3 Ge 2.46-2.55
Pd 0.0000 0.7867 0.0000  2 Ge 2.49, 2 Pd 2.75
Pd 0.0000 0.2133 0.2133  2 Ge 2.49, 2 Pd 2.75
Pd 0.5000 0.7093 0.7093  3 Ge 2.46-2.55
Pd 0.0000 0.0000 0.7867  2 Ge 2.49, 2 Pd 2.75
Pd 0.5000 0.2907 0.0000  3 Ge 2.46-2.55
Ca 0.0000 0.3333 0.6667  3 Pd 3.02, 6 Ge 3.18
Ca 0.0000 0.6667 0.3333  3 Pd 3.02, 6 Ge 3.18
Ge 0.5000 0.3782 0.3782  5 Pd 2.46-2.55
Ge 0.5000 0.6218 0.0000  5 Pd 2.46-2.55
Ge 0.5000 0.0000 0.6218  5 Pd 2.46-2.55